A relaxed Zn2GaRh2 crystal, computed with GGA-PBEsol.

abc: 3.6941 3.6941 11.5374
angles: 90.00 90.00 90.00
Last column: nearest neighbours and their distance in Å.
Fractional coordinates of all 10 atoms:
Zn: 0.0000 0.0000 0.1021  1 Zn 2.36, 4 Rh 2.51
Zn: 0.0000 0.0000 0.8979  1 Zn 2.36, 4 Rh 2.51
Zn: 0.5000 0.5000 0.3979  1 Zn 2.36, 4 Rh 2.51
Zn: 0.5000 0.5000 0.6021  1 Zn 2.36, 4 Rh 2.51
Ga: 0.0000 0.0000 0.5000  8 Zn 2.87
Ga: 0.5000 0.5000 0.0000  8 Zn 2.87
Rh: 0.0000 0.5000 0.2500  4 Zn 2.51, 4 Rh 2.61
Rh: 0.0000 0.5000 0.7500  4 Zn 2.51, 4 Rh 2.61
Rh: 0.5000 0.0000 0.2500  4 Zn 2.51, 4 Rh 2.61
Rh: 0.5000 0.0000 0.7500  4 Zn 2.51, 4 Rh 2.61

Properties
DFT formation energy: 0.180 eV/atom
ρ: 8.6 g cm⁻³
symmetry: I4/mmm (139)
raw total energy: -0.16082 Ha/atom



A relaxed Zn2GaRh2 crystal, computed with GGA-PBEsol.

abc: 6.2713 6.2713 3.7118
angles: 90.00 90.00 90.00
Last column: nearest neighbours and their distance in Å.
Fractional coordinates of all 10 atoms:
Zn: 0.1507 0.3493 0.0000  6 Rh 2.57-2.64, 1 Zn 2.67
Zn: 0.3493 0.8493 0.0000  6 Rh 2.57-2.64, 1 Zn 2.67
Zn: 0.6507 0.1507 0.0000  6 Rh 2.57-2.64, 1 Zn 2.67
Zn: 0.8493 0.6507 0.0000  6 Rh 2.57-2.64, 1 Zn 2.67
Ga: 0.0000 0.0000 0.5000  4 Rh 2.39
Ga: 0.5000 0.5000 0.5000  4 Rh 2.39
Rh: 0.1492 0.6492 0.5000  2 Ga 2.39, 6 Zn 2.57-2.64, 1 Rh 2.65
Rh: 0.3508 0.1492 0.5000  2 Ga 2.39, 6 Zn 2.57-2.64, 1 Rh 2.65
Rh: 0.6492 0.8508 0.5000  2 Ga 2.39, 6 Zn 2.57-2.64, 1 Rh 2.65
Rh: 0.8508 0.3508 0.5000  2 Ga 2.39, 6 Zn 2.57-2.64, 1 Rh 2.65

Properties
DFT formation energy: -0.409 eV/atom
ρ: 9.2 g cm⁻³
symmetry: P4/mbm (127)
raw total energy: -0.18245 Ha/atom



A relaxed Zr6Ga16Rh7 crystal, computed with GGA-PBEsol.

abc: 8.6431 8.6431 8.6431
angles: 60.00 60.00 60.00
Last column: nearest neighbours and their distance in Å.
Fractional coordinates of all 29 atoms:
Zr: 0.1972 0.1972 0.8028  8 Ga 2.75-3.06
Zr: 0.1972 0.8028 0.1972  8 Ga 2.75-3.06
Zr: 0.1972 0.8028 0.8028  8 Ga 2.75-3.06
Zr: 0.8028 0.1972 0.1972  8 Ga 2.75-3.06
Zr: 0.8028 0.1972 0.8028  8 Ga 2.75-3.06
Zr: 0.8028 0.8028 0.1972  8 Ga 2.75-3.06
Ga: 0.1328 0.6224 0.6224  4 Rh 2.59-2.67, 3 Ga 2.77
Ga: 0.1562 0.1562 0.1562  3 Rh 2.50, 3 Zr 2.75, 3 Ga 2.77
Ga: 0.1562 0.1562 0.5315  3 Rh 2.50, 3 Zr 2.75, 3 Ga 2.77
Ga: 0.1562 0.5315 0.1562  3 Rh 2.50, 3 Zr 2.75, 3 Ga 2.77
Ga: 0.3776 0.3776 0.3776  4 Rh 2.59-2.67, 3 Ga 2.77
Ga: 0.3776 0.3776 0.8672  4 Rh 2.59-2.67, 3 Ga 2.77
Ga: 0.3776 0.8672 0.3776  4 Rh 2.59-2.67, 3 Ga 2.77
Ga: 0.4685 0.8438 0.8438  3 Rh 2.50, 3 Zr 2.75, 3 Ga 2.77
Ga: 0.5315 0.1562 0.1562  3 Rh 2.50, 3 Zr 2.75, 3 Ga 2.77
Ga: 0.6224 0.1328 0.6224  4 Rh 2.59-2.67, 3 Ga 2.77
Ga: 0.6224 0.6224 0.1328  4 Rh 2.59-2.67, 3 Ga 2.77
Ga: 0.6224 0.6224 0.6224  4 Rh 2.59-2.67, 3 Ga 2.77
Ga: 0.8438 0.4685 0.8438  3 Rh 2.50, 3 Zr 2.75, 3 Ga 2.77
Ga: 0.8438 0.8438 0.4685  3 Rh 2.50, 3 Zr 2.75, 3 Ga 2.77
Ga: 0.8438 0.8438 0.8438  3 Rh 2.50, 3 Zr 2.75, 3 Ga 2.77
Ga: 0.8672 0.3776 0.3776  4 Rh 2.59-2.67, 3 Ga 2.77
Rh: 0.0000 0.0000 0.5000  8 Ga 2.50-2.67
Rh: 0.0000 0.5000 0.0000  8 Ga 2.50-2.67
Rh: 0.0000 0.5000 0.5000  8 Ga 2.50-2.67
Rh: 0.5000 0.0000 0.0000  8 Ga 2.50-2.67
Rh: 0.5000 0.0000 0.5000  8 Ga 2.50-2.67
Rh: 0.5000 0.5000 0.0000  8 Ga 2.50-2.67
Rh: 0.5000 0.5000 0.5000  8 Ga 2.59

Properties
DFT formation energy: -0.702 eV/atom
ρ: 8.7 g cm⁻³
symmetry: Fm-3m (225)
raw total energy: -0.23482 Ha/atom



A relaxed ZrGa3Rh crystal, computed with GGA-PBEsol.

abc: 4.9379 4.9379 4.9379
angles: 90.00 90.00 90.00
Last column: nearest neighbours and their distance in Å.
Fractional coordinates of all 5 atoms:
Zr: 0.0000 0.0000 0.0000  6 Ga 2.47
Ga: 0.0000 0.0000 0.5000  2 Zr 2.47
Ga: 0.0000 0.5000 0.0000  2 Zr 2.47
Ga: 0.5000 0.0000 0.0000  2 Zr 2.47
Rh: 0.5000 0.5000 0.5000  12 Ga 3.49

Properties
DFT formation energy: 1.215 eV/atom
ρ: 5.6 g cm⁻³
symmetry: Pm-3m (221)
raw total energy: -0.15562 Ha/atom



A relaxed Ga3Ru crystal, computed with GGA-PBEsol.

abc: 6.4426 6.4426 6.6579
angles: 90.00 90.00 90.00
Last column: nearest neighbours and their distance in Å.
Fractional coordinates of all 16 atoms:
Ga: 0.0000 0.5000 0.0000  2 Ru 2.43
Ga: 0.0000 0.5000 0.5000  2 Ru 2.43
Ga: 0.1555 0.1555 0.2353  3 Ru 2.45-2.56
Ga: 0.1555 0.1555 0.7647  3 Ru 2.45-2.56
Ga: 0.3445 0.6555 0.2647  3 Ru 2.45-2.56
Ga: 0.3445 0.6555 0.7353  3 Ru 2.45-2.56
Ga: 0.5000 0.0000 0.0000  2 Ru 2.43
Ga: 0.5000 0.0000 0.5000  2 Ru 2.43
Ga: 0.6555 0.3445 0.2647  3 Ru 2.45-2.56
Ga: 0.6555 0.3445 0.7353  3 Ru 2.45-2.56
Ga: 0.8445 0.8445 0.2353  3 Ru 2.45-2.56
Ga: 0.8445 0.8445 0.7647  3 Ru 2.45-2.56
Ru: 0.1581 0.8419 0.0000  8 Ga 2.43-2.56
Ru: 0.3419 0.3419 0.5000  8 Ga 2.43-2.56
Ru: 0.6581 0.6581 0.5000  8 Ga 2.43-2.56
Ru: 0.8419 0.1581 0.0000  8 Ga 2.43-2.56

Properties
DFT formation energy: -0.376 eV/atom
ρ: 7.5 g cm⁻³
symmetry: P4_2/mnm (136)
raw total energy: -0.19934 Ha/atom



A relaxed GaRu crystal, computed with GGA-PBEsol.

abc: 2.9859 2.9859 2.9859
angles: 90.00 90.00 90.00
Last column: nearest neighbours and their distance in Å.
Fractional coordinates of all 2 atoms:
Ga: 0.0000 0.0000 0.0000  8 Ru 2.59
Ru: 0.5000 0.5000 0.5000  8 Ga 2.59

Properties
DFT formation energy: -0.304 eV/atom
ρ: 10.7 g cm⁻³
symmetry: Pm-3m (221)
raw total energy: -0.25947 Ha/atom



A relaxed Ga2RuS crystal, computed with GGA-PBEsol.

abc: 6.1638 6.1638 6.1638
angles: 90.00 90.00 90.00
Last column: nearest neighbours and their distance in Å.
Fractional coordinates of all 16 atoms:
Ga: 0.2500 0.2500 0.2500  4 S 2.67, 4 Ru 2.67
Ga: 0.2500 0.2500 0.7500  4 S 2.67, 4 Ru 2.67
Ga: 0.2500 0.7500 0.2500  4 S 2.67, 4 Ru 2.67
Ga: 0.2500 0.7500 0.7500  4 S 2.67, 4 Ru 2.67
Ga: 0.7500 0.2500 0.2500  4 S 2.67, 4 Ru 2.67
Ga: 0.7500 0.2500 0.7500  4 S 2.67, 4 Ru 2.67
Ga: 0.7500 0.7500 0.2500  4 S 2.67, 4 Ru 2.67
Ga: 0.7500 0.7500 0.7500  4 S 2.67, 4 Ru 2.67
Ru: 0.0000 0.0000 0.0000  8 Ga 2.67
Ru: 0.0000 0.5000 0.5000  8 Ga 2.67
Ru: 0.5000 0.0000 0.5000  8 Ga 2.67
Ru: 0.5000 0.5000 0.0000  8 Ga 2.67
S: 0.0000 0.0000 0.5000  8 Ga 2.67
S: 0.0000 0.5000 0.0000  8 Ga 2.67
S: 0.5000 0.0000 0.0000  8 Ga 2.67
S: 0.5000 0.5000 0.5000  8 Ga 2.67

Properties
ρ: 7.7 g cm⁻³
symmetry: Fm-3m (225)
raw total energy: -0.18222 Ha/atom



A relaxed Ta2GaSbRu crystal, computed with GGA-PBEsol.

abc: 4.6504 4.6504 4.8432
angles: 90.00 90.00 90.00
Last column: nearest neighbours and their distance in Å.
Fractional coordinates of all 5 atoms:
Ta: 0.0000 0.5000 0.0000  2 Ga 2.33
Ta: 0.5000 0.0000 0.0000  2 Ga 2.33
Ga: 0.0000 0.0000 0.0000  4 Ta 2.33, 2 Sb 2.42
Sb: 0.0000 0.0000 0.5000  2 Ga 2.42
Ru: 0.5000 0.5000 0.5000  4 Sb 3.29, 8 Ta 3.36

Properties
ρ: 10.4 g cm⁻³
symmetry: P4/mmm (123)
raw total energy: -0.25430 Ha/atom